ScBeCoCu2 | PBEsol | optimized geometry

## Properties
Fermi-level density of states	3.0	states/eV/cell
total DFT energy (no corrections)	-4.5831	eV per atom
magnetic moment	0.00	μB per formula unit

Cell: 4.3989 4.3989 4.2859 Å, 90.00 90.00 90.00°
Closest atoms and distances in Å follow each position.
Space group P4/mmm (No. 123)
Unique sites:
1 Sc 0.0000 0.0000 0.0000  2 Co 2.14
2 Be 0.5000 0.5000 0.0000  8 Cu 3.07, 4 Sc 3.11
3 Co 0.0000 0.0000 0.5000  2 Sc 2.14, 4 Cu 2.20
4 Cu 0.0000 0.5000 0.5000  2 Co 2.20

NiIr2Ru | PBEsol | optimized geometry

## Properties
Fermi-level density of states	14.1	states/eV/cell
total DFT energy (no corrections)	-8.9899	eV per atom
magnetic moment	0.01	μB per formula unit
energy above the lowest structure with this stoichiometry	0.015	eV per atom

Cell: 2.6697 2.6697 25.4839 Å, 90.00 90.00 120.00°
Closest atoms and distances in Å follow each position.
Space group R-3m (No. 166, hexagonal axes)
Unique sites:
1 Ni 0.0000 0.0000 0.0000  6 Ir 2.59, 6 Ni 2.67
2 Ir 0.0000 0.0000 0.2518  3 Ni 2.59, 3 Ru 2.66, 6 Ir 2.67
3 Ru 0.0000 0.0000 0.5000  6 Ir 2.66, 6 Ru 2.67

CoIr2Rh | PBEsol | optimized geometry

## Properties
Fermi-level density of states	5.0	states/eV/cell
total DFT energy (no corrections)	-8.8591	eV per atom
magnetic moment	1.37	μB per formula unit
energy above the lowest structure with this stoichiometry	0.019	eV per atom

Cell: 2.6595 3.6942 5.3080 Å, 90.00 90.00 90.00°
Closest atoms and distances in Å follow each position.
Space group Pmmm (No. 47)
Unique sites:
1 Co 0.0000 0.0000 0.0000  8 Ir 2.61, 2 Rh 2.65, 2 Co 2.66
2 Ir 0.5000 0.5000 0.2418  4 Ir 2.57-2.74, 4 Co 2.61, 4 Rh 2.66
3 Rh 0.0000 0.0000 0.5000  2 Co 2.65, 8 Ir 2.66, 2 Rh 2.66

AlOsBr | PBEsol | optimized geometry

## Properties
Fermi-level density of states	8.2	states/eV/cell
total DFT energy (no corrections)	-4.9194	eV per atom
magnetic moment	0.00	μB per formula unit
energy above the lowest structure with this stoichiometry	0.793	eV per atom

Cell: 6.0435 6.0435 6.0435 Å, 90.00 90.00 90.00°
Closest atoms and distances in Å follow each position.
Space group F-43m (No. 216)
Unique sites:
1 Al 0.0000 0.0000 0.0000  4 Os 2.62, 4 Br 2.62
2 Os 0.2500 0.2500 0.2500  4 Al 2.62
3 Br 0.2500 0.2500 0.7500  4 Al 2.62

Ti3Sn5S12 | PBEsol | optimized geometry

## Properties
Fermi-level density of states	0.3	states/eV/cell
total DFT energy (no corrections)	-5.7789	eV per atom
magnetic moment	0.00	μB per formula unit

Cell: 8.8099 3.5755 13.3420 Å, 90.00 90.45 90.00°
Closest atoms and distances in Å follow each position.
Space group Pm (No. 6)
Unique sites:
1 Ti 0.0000 0.0000 0.0000  6 S 2.32-2.53
2 Ti 0.1599 0.5000 0.5146  6 S 2.38-2.47
3 Ti 0.4777 0.0000 0.6033  6 S 2.39-2.45
4 Sn 0.3029 0.5000 0.8867  3 S 2.63-2.72
5 Sn 0.3443 0.0000 0.2370  4 S 2.61-2.89
6 Sn 0.6686 0.5000 0.1110  6 S 2.53-2.58
7 Sn 0.7838 0.5000 0.7311  4 S 2.59-2.90
8 Sn 0.8523 0.0000 0.3965  3 S 2.60-2.69
9 S 0.0541 0.5000 0.3499  1 Ti 2.38, 2 Sn 2.60
10 S 0.0966 0.0000 0.8385  1 Ti 2.32
11 S 0.1561 0.5000 0.0654  2 Ti 2.41
12 S 0.3119 0.5000 0.6650  3 Ti 2.40-2.45
13 S 0.3281 0.0000 0.4531  3 Ti 2.39-2.47
14 S 0.4853 0.0000 0.0499  3 Sn 2.54-2.80
15 S 0.5494 0.5000 0.2833  3 Sn 2.53-2.61
16 S 0.5811 0.0000 0.7719  1 Ti 2.42, 2 Sn 2.59
17 S 0.6442 0.5000 0.5476  2 Ti 2.43
18 S 0.8210 0.5000 0.9470  2 Ti 2.48, 1 Sn 2.58
19 S 0.8573 0.0000 0.1636  1 Ti 2.53, 2 Sn 2.54
20 S 0.9970 0.0000 0.5747  2 Ti 2.43, 1 Sn 2.69

SiB2PbCl | PBEsol | optimized geometry

## Properties
Fermi-level density of states	3.3	states/eV/cell
total DFT energy (no corrections)	-3.2109	eV per atom
magnetic moment	0.00	μB per formula unit

Cell: 4.5353 4.5353 5.3824 Å, 90.00 90.00 90.00°
Closest atoms and distances in Å follow each position.
Space group P4/mmm (No. 123)
Unique sites:
1 Si 0.0000 0.0000 0.0000  4 Cl 3.21, 8 B 3.52
2 B 0.0000 0.5000 0.5000  2 Pb 2.27
3 Pb 0.5000 0.5000 0.5000  4 B 2.27
4 Cl 0.5000 0.5000 0.0000  2 Pb 2.69

MgAgRh | PBEsol | optimized geometry

## Properties
Fermi-level density of states	7.3	states/eV/cell
total DFT energy (no corrections)	-4.0759	eV per atom
magnetic moment	0.00	μB per formula unit
energy above the lowest structure with this stoichiometry	0.424	eV per atom

Cell: 5.9597 5.9597 5.9597 Å, 90.00 90.00 90.00°
Closest atoms and distances in Å follow each position.
Space group F-43m (No. 216)
Unique sites:
1 Mg 0.0000 0.0000 0.0000  4 Rh 2.58, 4 Ag 2.58
2 Ag 0.2500 0.2500 0.2500  4 Mg 2.58
3 Rh 0.2500 0.2500 0.7500  4 Mg 2.58

SbTe3P | PBEsol | optimized geometry

## Properties
Fermi-level density of states	2.4	states/eV/cell
total DFT energy (no corrections)	-3.7796	eV per atom
magnetic moment	0.00	μB per formula unit

Cell: 5.1639 5.1639 5.1639 Å, 90.00 90.00 90.00°
Closest atoms and distances in Å follow each position.
Space group Pm-3m (No. 221)
Unique sites:
1 Sb 0.0000 0.0000 0.0000  12 Te 3.65
2 Te 0.0000 0.5000 0.5000  2 P 2.58
3 P 0.5000 0.5000 0.5000  6 Te 2.58

BaSm2CuO5 | PBEsol | optimized geometry

## Properties
Fermi-level density of states	1.1	states/eV/cell
total DFT energy (no corrections)	-7.4334	eV per atom
magnetic moment	1.01	μB per formula unit

Cell: 12.3008 5.7214 7.2447 Å, 90.00 90.00 90.00°
Closest atoms and distances in Å follow each position.
Space group Pnma (No. 62)
Unique sites:
1 Ba 0.0945 0.2500 0.0681  3 O 2.60-2.86
2 Sm 0.0748 0.7500 0.3957  7 O 2.34-2.41
3 Sm 0.2115 0.2500 0.6125  7 O 2.35-2.39
4 Cu 0.1603 0.7500 0.7840  4 O 1.98-2.02
5 O 0.0665 0.5103 0.6685  1 Cu 1.98
6 O 0.0989 0.7500 0.0758  1 Cu 2.24, 2 Sm 2.34-2.35
7 O 0.2274 0.0071 0.3501  1 Cu 2.02

Al2OsSe | PBEsol | optimized geometry

## Properties
Fermi-level density of states	0.9	states/eV/cell
total DFT energy (no corrections)	-6.0422	eV per atom
magnetic moment	0.00	μB per formula unit

Cell: 9.0439 3.2344 4.6216 Å, 90.00 117.09 90.00°
Closest atoms and distances in Å follow each position.
Space group C2/m (No. 12)
Unique sites:
1 Al 0.2472 0.0000 0.2547  2 Se 2.57, 2 Os 2.60, 4 Al 2.77-2.88
2 Os 0.0000 0.0000 0.5000  4 Al 2.60, 4 Se 2.82
3 Se 0.0000 0.5000 0.0000  4 Al 2.57, 4 Os 2.82

Na8TiO6 | PBEsol | optimized geometry

## Properties
Fermi-level density of states	0.0	states/eV/cell
total DFT energy (no corrections)	-5.0971	eV per atom
magnetic moment	0.16	μB per formula unit

Cell: 13.5998 6.4210 9.5999 Å, 90.00 90.00 90.00°
Closest atoms and distances in Å follow each position.
Space group Pna2_1 (No. 33)
Unique sites:
1 Na 0.0064 0.0114 0.0000  3 O 2.20-2.29
2 Na 0.0425 0.7414 0.7781  4 O 2.29-2.53, 1 Na 2.56
3 Na 0.0698 0.4746 0.0702  3 O 2.30-2.44
4 Na 0.1133 0.8604 0.2348  4 O 2.36-2.43, 1 Na 2.60
5 Na 0.1136 0.5046 0.4114  3 O 2.24-2.35
6 Na 0.2143 0.0859 0.0613  4 O 2.29-2.37
7 Na 0.2215 0.8636 0.7759  3 O 2.24-2.42
8 Na 0.2231 0.0730 0.4619  3 O 2.32-2.38
9 Ti 0.1285 0.2809 0.7528  4 O 1.82-1.86
10 O 0.0193 0.3006 0.8654  1 Ti 1.84
11 O 0.1145 0.0475 0.6472  1 Ti 1.82
12 O 0.1240 0.2302 0.2495  6 Na 2.28-2.44
13 O 0.1303 0.5127 0.6438  1 Ti 1.82
14 O 0.1351 0.7821 0.9892  7 Na 2.29-2.43
15 O 0.2441 0.2471 0.8530  1 Ti 1.86

In2PdI | PBEsol | optimized geometry

## Properties
Fermi-level density of states	14.2	states/eV/cell
total DFT energy (no corrections)	-3.1740	eV per atom
magnetic moment	0.00	μB per formula unit

Cell: 7.3549 7.3549 7.3549 Å, 90.00 90.00 90.00°
Closest atoms and distances in Å follow each position.
Space group Fm-3m (No. 225)
Unique sites:
1 In 0.2500 0.2500 0.2500  4 I 3.18, 4 Pd 3.18
2 Pd 0.0000 0.0000 0.0000  8 In 3.18
3 I 0.0000 0.0000 0.5000  8 In 3.18

ScTi3N | PBEsol | optimized geometry

## Properties
Fermi-level density of states	6.1	states/eV/cell
total DFT energy (no corrections)	-8.7627	eV per atom
magnetic moment	0.00	μB per formula unit

Cell: 4.2000 4.2000 4.2000 Å, 90.00 90.00 90.00°
Closest atoms and distances in Å follow each position.
Space group Pm-3m (No. 221)
Unique sites:
1 Sc 0.0000 0.0000 0.0000  12 Ti 2.97
2 Ti 0.0000 0.5000 0.5000  2 N 2.10
3 N 0.5000 0.5000 0.5000  6 Ti 2.10

BeRe2 | PBEsol | optimized geometry

## Properties
Fermi-level density of states	5.8	states/eV/cell
total DFT energy (no corrections)	-10.1354	eV per atom
magnetic moment	0.00	μB per formula unit
energy above the lowest structure with this stoichiometry	0.346	eV per atom

Cell: 8.8557 2.9757 5.9299 Å, 90.00 102.26 90.00°
Closest atoms and distances in Å follow each position.
Space group Cm (No. 8)
Unique sites:
1 Be 0.0000 0.0000 0.0000  7 Re 2.31-2.48
2 Be 0.2421 0.5000 0.4161  7 Re 2.41-2.62
3 Re 0.0619 0.0000 0.6113  3 Be 2.48-2.62, 5 Re 2.56-2.64
4 Re 0.2026 0.5000 0.0015  3 Be 2.33-2.41
5 Re 0.3567 0.0000 0.7377  4 Be 2.33-2.46, 3 Re 2.56-2.58
6 Re 0.4290 0.0000 0.2560  4 Be 2.31-2.55

KBe2Zn | PBEsol | optimized geometry

## Properties
Fermi-level density of states	1.2	states/eV/cell
total DFT energy (no corrections)	-2.0949	eV per atom
magnetic moment	0.00	μB per formula unit

Cell: 2.5265 3.6828 7.3289 Å, 90.00 90.00 90.00°
Closest atoms and distances in Å follow each position.
Space group Pmmm (No. 47)
Unique sites:
1 K 0.0000 0.0000 0.0000  2 K 2.53
2 Be 0.5000 0.5000 0.3494  1 Be 2.21
3 Zn 0.0000 0.0000 0.5000  8 Be 2.49, 2 Zn 2.53

Pr3Tm | PBEsol | optimized geometry

## Properties
Fermi-level density of states	12.3	states/eV/cell
total DFT energy (no corrections)	-5.0854	eV per atom
magnetic moment	0.00	μB per formula unit

Cell: 7.2157 7.2157 5.8011 Å, 90.00 90.00 120.00°
Closest atoms and distances in Å follow each position.
Space group P6_3/mmc (No. 194)
Unique sites:
1 Pr 0.1678 0.3355 0.2500  4 Tm 3.56-3.61, 8 Pr 3.58-3.63
2 Tm 0.3333 0.6667 0.7500  12 Pr 3.56-3.61

NdCo5P3 | PBEsol | optimized geometry

## Properties
Fermi-level density of states	25.0	states/eV/cell
total DFT energy (no corrections)	-7.6715	eV per atom
magnetic moment	1.01	μB per formula unit

Cell: 11.6787 3.6370 10.2768 Å, 90.00 90.00 90.00°
Closest atoms and distances in Å follow each position.
Space group Pnma (No. 62)
Unique sites:
1 Nd 0.2020 0.2500 0.0842  6 P 2.81-2.88, 10 Co 2.89-3.14
2 Co 0.0093 0.7500 0.7140  3 P 2.18-2.43
3 Co 0.0101 0.7500 0.0943  4 P 2.28-2.34, 1 Co 2.52
4 Co 0.0677 0.7500 0.4700  4 P 2.12-2.22
5 Co 0.1758 0.2500 0.7806  4 P 2.17-2.31
6 Co 0.1969 0.2500 0.3833  4 P 2.27-2.30, 2 Co 2.53
7 P 0.1075 0.7500 0.8947  7 Co 2.18-2.34
8 P 0.1093 0.2500 0.5837  5 Co 2.14-2.30
9 P 0.1289 0.7500 0.2759  5 Co 2.12-2.32

ReRh2W | PBEsol | optimized geometry

## Properties
Fermi-level density of states	2.6	states/eV/cell
total DFT energy (no corrections)	-10.9917	eV per atom
magnetic moment	0.00	μB per formula unit
energy above the lowest structure with this stoichiometry	0.082	eV per atom

Cell: 2.6933 3.9064 5.3905 Å, 90.00 90.00 90.00°
Closest atoms and distances in Å follow each position.
Space group Pmmm (No. 47)
Unique sites:
1 Re 0.0000 0.0000 0.0000  2 Re 2.69, 2 W 2.70, 8 Rh 2.72
2 Rh 0.5000 0.5000 0.2462  4 Rh 2.65-2.74, 4 Re 2.72, 4 W 2.74
3 W 0.0000 0.0000 0.5000  2 W 2.69, 2 Re 2.70, 8 Rh 2.74

LiMgAg2 | PBEsol | optimized geometry

## Properties
Fermi-level density of states	1.2	states/eV/cell
total DFT energy (no corrections)	-2.7389	eV per atom
magnetic moment	0.00	μB per formula unit

Cell: 2.9523 4.0289 5.6756 Å, 90.00 90.00 90.00°
Closest atoms and distances in Å follow each position.
Space group Pmm2 (No. 25)
Unique sites:
1 Li 0.0000 0.0000 0.0000  6 Ag 2.71-2.97, 2 Li 2.95, 4 Mg 2.99
2 Mg 0.5000 0.5000 0.2886  6 Ag 2.83-2.84, 2 Mg 2.95, 4 Li 2.99
3 Ag 0.0000 0.0000 0.5233  2 Li 2.71-2.97, 4 Mg 2.83, 6 Ag 2.92-2.95
4 Ag 0.5000 0.5000 0.7890  4 Li 2.77, 2 Mg 2.84, 6 Ag 2.92-2.95

ZrTa2Rh | PBEsol | optimized geometry

## Properties
Fermi-level density of states	7.2	states/eV/cell
total DFT energy (no corrections)	-10.7711	eV per atom
magnetic moment	0.00	μB per formula unit

Cell: 3.3096 4.6138 9.0617 Å, 90.00 90.00 90.00°
Closest atoms and distances in Å follow each position.
Space group Imm2 (No. 44)
Unique sites:
1 Zr 0.0000 0.0000 0.0000  2 Rh 2.78, 6 Ta 2.84-2.89
2 Ta 0.0000 0.0000 0.4851  2 Rh 2.72, 2 Ta 2.83, 4 Zr 2.84
3 Ta 0.0000 0.5000 0.2379  2 Ta 2.83, 4 Rh 2.84, 4 Zr 2.89-3.16
4 Rh 0.0000 0.5000 0.7464  6 Ta 2.72-2.84, 2 Zr 2.78

Sr2Au | PBEsol | optimized geometry

## Properties
Fermi-level density of states	3.3	states/eV/cell
total DFT energy (no corrections)	-3.0452	eV per atom
magnetic moment	0.00	μB per formula unit

Cell: 7.1278 7.4450 4.4888 Å, 90.00 90.00 90.00°
Closest atoms and distances in Å follow each position.
Space group Pnnm (No. 58)
Unique sites:
1 Sr 0.2380 0.1691 0.0000  3 Au 3.08-3.09
2 Au 0.0000 0.0000 0.5000  6 Sr 3.08-3.09

Sr2MnCr | PBEsol | optimized geometry

## Properties
Fermi-level density of states	4.9	states/eV/cell
total DFT energy (no corrections)	-5.3123	eV per atom
magnetic moment	0.23	μB per formula unit

Cell: 3.4574 3.4574 9.1188 Å, 90.00 90.00 90.00°
Closest atoms and distances in Å follow each position.
Space group P4mm (No. 99)
Unique sites:
1 Sr 0.0000 0.0000 0.0000  1 Cr 3.10, 4 Mn 3.42, 4 Sr 3.46
2 Sr 0.5000 0.5000 0.3898  1 Mn 3.17, 4 Sr 3.46, 4 Cr 3.47
3 Mn 0.5000 0.5000 0.7373  4 Cr 2.54
4 Cr 0.0000 0.0000 0.6599  4 Mn 2.54